P | First-principles (PBE) data for a relaxed structure of ZrGaIrAu, as listed in the Alexandria database.

Properties
- crystal system = triclinic

Geometry as CIF:
```
data_ZrGaIrAu
_chemical_formula_sum 'Zr1 Ga1 Ir1 Au1'
_symmetry_space_group_name_H-M 'P 1'
_symmetry_Int_Tables_number 1
_symmetry_space_group_name_Hall 'P 1'
_cell_length_a 3.199
_cell_length_b 4.449
_cell_length_c 5.572
_cell_angle_alpha 91.33
_cell_angle_beta 90.29
_cell_angle_gamma 109.96
loop_
_atom_site_label
_atom_site_type_symbol
_atom_site_fract_x
_atom_site_fract_y
_atom_site_fract_z
Zr1 Zr 0.000 0.000 0.000
Ga1 Ga 0.574 0.136 0.543
Ir1 Ir 0.293 0.563 0.772
Au1 Au 0.307 0.581 0.286
```


Q | First-principles (PBE) data for a relaxed structure of ZrGaIrAu, as listed in the Alexandria database.

Properties
- crystal system = cubic

Geometry as CIF:
```
data_ZrGaIrAu
_chemical_formula_sum 'Zr4 Ga4 Ir4 Au4'
_symmetry_space_group_name_H-M 'F -4 3 m'
_symmetry_Int_Tables_number 216
_symmetry_space_group_name_Hall 'F -4 2 3'
_cell_length_a 6.544
_cell_length_b 6.544
_cell_length_c 6.544
_cell_angle_alpha 90.00
_cell_angle_beta 90.00
_cell_angle_gamma 90.00
loop_
_atom_site_label
_atom_site_type_symbol
_atom_site_fract_x
_atom_site_fract_y
_atom_site_fract_z
Zr1 Zr 0.000 0.000 0.000
Ga1 Ga 0.000 0.000 0.500
Ir1 Ir 0.250 0.250 0.750
Au1 Au 0.250 0.250 0.250
```


R | First-principles (PBE) data for a relaxed structure of ZrGaIrAu, as listed in the Alexandria database.

Properties
- crystal system = orthorhombic

Geometry as CIF:
```
data_ZrGaIrAu
_chemical_formula_sum 'Zr4 Ga4 Ir4 Au4'
_symmetry_space_group_name_H-M 'F 2 2 2'
_symmetry_Int_Tables_number 22
_symmetry_space_group_name_Hall 'F 2 2'
_cell_length_a 5.818
_cell_length_b 6.417
_cell_length_c 7.453
_cell_angle_alpha 90.00
_cell_angle_beta 90.00
_cell_angle_gamma 90.00
loop_
_atom_site_label
_atom_site_type_symbol
_atom_site_fract_x
_atom_site_fract_y
_atom_site_fract_z
Zr1 Zr 0.000 0.000 0.000
Ga1 Ga 0.000 0.000 0.500
Ir1 Ir 0.250 0.250 0.250
Au1 Au 0.250 0.250 0.750
```


Which of them is least stable? Easy: P.


P | First-principles (PBE) data for a relaxed structure of KGa6Au12, as listed in the Alexandria database.

Properties
- crystal system = trigonal

Geometry as CIF:
```
data_KGa6Au12
_chemical_formula_sum 'K3 Ga18 Au36'
_symmetry_space_group_name_H-M 'R -3 m'
_symmetry_Int_Tables_number 166
_symmetry_space_group_name_Hall '-R 3 2"'
_cell_length_a 11.9114
_cell_length_b 11.9114
_cell_length_c 9.2656
_cell_angle_alpha 90.00
_cell_angle_beta 90.00
_cell_angle_gamma 120.00
loop_
_atom_site_label
_atom_site_type_symbol
_atom_site_fract_x
_atom_site_fract_y
_atom_site_fract_z
K1 K 0.0000 0.0000 0.0000
Ga1 Ga 0.0536 0.5268 0.2525
Au1 Au 0.0000 0.3819 0.5000
Au2 Au 0.0833 0.1665 0.3083
```


Q | First-principles (PBE) data for a relaxed structure of KGa6Au12, as listed in the Alexandria database.

Properties
- crystal system = triclinic

Geometry as CIF:
```
data_KGa6Au12
_chemical_formula_sum 'K1 Ga6 Au12'
_symmetry_space_group_name_H-M 'P -1'
_symmetry_Int_Tables_number 2
_symmetry_space_group_name_Hall '-P 1'
_cell_length_a 6.854
_cell_length_b 7.400
_cell_length_c 8.916
_cell_angle_alpha 65.70
_cell_angle_beta 77.02
_cell_angle_gamma 66.91
loop_
_atom_site_label
_atom_site_type_symbol
_atom_site_fract_x
_atom_site_fract_y
_atom_site_fract_z
K1 K 0.000 0.000 0.000
Ga1 Ga 0.205 0.470 0.051
Ga2 Ga 0.307 0.341 0.652
Ga3 Ga 0.499 0.773 0.674
Au1 Au 0.063 0.722 0.758
Au2 Au 0.104 0.542 0.332
Au3 Au 0.173 0.102 0.558
Au4 Au 0.284 0.764 0.438
Au5 Au 0.432 0.051 0.148
Au6 Au 0.469 0.631 0.148
```


Which of them is least stable? Easy: P.


P | First-principles (PBE) data for a relaxed structure of KGaAu3, as listed in the Alexandria database.

Properties
- crystal system = orthorhombic

Geometry as CIF:
```
data_KGaAu3
_chemical_formula_sum 'K4 Ga4 Au12'
_symmetry_space_group_name_H-M 'I m m a'
_symmetry_Int_Tables_number 74
_symmetry_space_group_name_Hall '-I 2b 2'
_cell_length_a 6.642
_cell_length_b 10.041
_cell_length_c 7.563
_cell_angle_alpha 90.00
_cell_angle_beta 90.00
_cell_angle_gamma 90.00
loop_
_atom_site_label
_atom_site_type_symbol
_atom_site_fract_x
_atom_site_fract_y
_atom_site_fract_z
K1 K 0.000 0.250 0.086
Ga1 Ga 0.000 0.000 0.500
Au1 Au 0.000 0.250 0.585
Au2 Au 0.250 0.054 0.750
```


Q | First-principles (PBE) data for a relaxed structure of KGaAu3, as listed in the Alexandria database.

Properties
- crystal system = cubic

Geometry as CIF:
```
data_KGaAu3
_chemical_formula_sum 'K1 Ga1 Au3'
_symmetry_space_group_name_H-M 'P m -3 m'
_symmetry_Int_Tables_number 221
_symmetry_space_group_name_Hall '-P 4 2 3'
_cell_length_a 5.058
_cell_length_b 5.058
_cell_length_c 5.058
_cell_angle_alpha 90.00
_cell_angle_beta 90.00
_cell_angle_gamma 90.00
loop_
_atom_site_label
_atom_site_type_symbol
_atom_site_fract_x
_atom_site_fract_y
_atom_site_fract_z
K1 K 0.000 0.000 0.000
Ga1 Ga 0.500 0.500 0.500
Au1 Au 0.000 0.500 0.500
```


R | First-principles (PBE) data for a relaxed structure of KGaAu3, as listed in the Alexandria database.

Properties
- crystal system = cubic

Geometry as CIF:
```
data_KGaAu3
_chemical_formula_sum 'K1 Ga1 Au3'
_symmetry_space_group_name_H-M 'P m -3 m'
_symmetry_Int_Tables_number 221
_symmetry_space_group_name_Hall '-P 4 2 3'
_cell_length_a 5.805
_cell_length_b 5.805
_cell_length_c 5.805
_cell_angle_alpha 90.00
_cell_angle_beta 90.00
_cell_angle_gamma 90.00
loop_
_atom_site_label
_atom_site_type_symbol
_atom_site_fract_x
_atom_site_fract_y
_atom_site_fract_z
K1 K 0.000 0.000 0.000
Ga1 Ga 0.500 0.500 0.500
Au1 Au 0.000 0.000 0.500
```


S | First-principles (PBE) data for a relaxed structure of KGaAu3, as listed in the Alexandria database.

Properties
- crystal system = monoclinic

Geometry as CIF:
```
data_KGaAu3
_chemical_formula_sum 'K2 Ga2 Au6'
_symmetry_space_group_name_H-M 'P 1 m 1'
_symmetry_Int_Tables_number 6
_symmetry_space_group_name_Hall 'P -2y'
_cell_length_a 6.075
_cell_length_b 6.430
_cell_length_c 6.254
_cell_angle_alpha 90.00
_cell_angle_beta 98.54
_cell_angle_gamma 90.00
loop_
_atom_site_label
_atom_site_type_symbol
_atom_site_fract_x
_atom_site_fract_y
_atom_site_fract_z
K1 K 0.000 0.000 0.000
K2 K 0.335 0.500 0.342
Ga1 Ga 0.299 0.000 0.564
Ga2 Ga 0.813 0.500 0.748
Au1 Au 0.495 0.250 0.855
Au2 Au 0.522 0.000 0.247
Au3 Au 0.799 0.500 0.154
Au4 Au 0.907 0.215 0.493
```


Which of them is least stable? Easy: R.